# 1
A plane-wave DFT calculation with PBE-GGA was carried out for a geometry-optimized Ti5Fe4Cu structure.

a = 2.947 Å, b = 2.947 Å, c = 15.215 Å
α = 90.00°, β = 90.00°, γ = 90.00°
Fractional positions:
1 Ti 0.000 0.000 0.000
2 Ti 0.000 0.000 0.195
3 Ti 0.000 0.000 0.391
4 Ti 0.000 0.000 0.609
5 Ti 0.000 0.000 0.805
6 Fe 0.500 0.500 0.097
7 Fe 0.500 0.500 0.293
8 Fe 0.500 0.500 0.707
9 Fe 0.500 0.500 0.903
10 Cu 0.500 0.500 0.500

Calculated values
total magnetic moment = 0.00 μB/f.u.
V = 13.22 Å³ per atom
energy of formation = -0.335 eV/atom

# 2
A plane-wave DFT calculation with PBE-GGA was carried out for a geometry-optimized LiCaAlCu structure.

a = 4.703 Å, b = 4.703 Å, c = 4.703 Å
α = 60.00°, β = 60.00°, γ = 60.00°
Fractional positions:
1 Li 0.000 0.000 0.000
2 Ca 0.250 0.250 0.250
3 Al 0.750 0.750 0.750
4 Cu 0.500 0.500 0.500

Calculated values
total magnetic moment = 0.00 μB/f.u.
V = 18.39 Å³ per atom
energy of formation = -0.140 eV/atom

- What is the formula in the second record?
  LiCaAlCu